A geometry-optimized Pa2CrOs structure. Source: the Alexandria database, functional PBE.

## Properties
As for the polymorph energy (0 for the lowest one): 2.144 eV/f.u. The calculation puts the total magnetization at 0.161 μB per cell. The formation energy comes out at 0.64 eV per atom.

Cell lengths 3.6124, 3.6124, 8.5441 Å; angles 77.80, 77.80, 60.00 degrees
Site moments in Bohr magnetons follow the coordinates.
Atoms (fractional coordinates):
Pa: 0.0938 0.0938 0.7186  -0.03
Pa: 0.9062 0.9062 0.2814  -0.03
Os: 0.5000 0.5000 0.5000  0.01
Cr: 0.0000 0.0000 0.0000  0.23

A geometry-optimized Al3Cl2 structure. Source: the Alexandria database, functional PBE.

## Properties
As for the uncorrected formation energy: -242 meV/atom. The calculation puts the total magnetization at 0.000 μB per cell.

Cell lengths 4.4162, 4.4162, 8.7621 Å; angles 90.00, 90.00, 120.00 degrees
Atoms (fractional coordinates):
Cl: 0.6667 0.3333 0.8074
Cl: 0.3333 0.6667 0.1926
Al: 0.6667 0.3333 0.5402
Al: 0.0000 0.0000 0.0000
Al: 0.3333 0.6667 0.4598

A geometry-optimized TlSb2O4 structure. Source: the Alexandria database, functional PBE.

## Properties
As for the uncorrected formation energy: -872 meV/atom. The calculation puts the total magnetization at 0.001 μB per cell.

Cell lengths 7.0997, 7.0997, 7.0930 Å; angles 120.03, 120.03, 90.00 degrees
Atoms (fractional coordinates):
Sb: 0.1250 0.8750 0.7500
Sb: 0.1250 0.3750 0.2500
Sb: 0.6250 0.8750 0.7500
Sb: 0.1250 0.8750 0.2500
Tl: 0.7500 0.2500 0.5000
Tl: 0.5000 0.5000 0.0000
O: 0.8985 0.6968 0.7972
O: 0.3513 0.6495 0.7028
O: 0.3515 0.0532 0.7028
O: 0.8995 0.1015 0.2028
O: 0.3032 0.1013 0.2028
O: 0.9468 0.6487 0.2972
O: 0.8987 0.1005 0.7972
O: 0.3505 0.6485 0.2972